Record 1
DFT (PBE) results for CaHBr after structural relaxation.

Unit cell a=5.869 b=4.051 c=6.513 alpha=90.00 beta=114.86 gamma=90.00
Space group P2_1/m (No. 11)
Unique sites:
Ca1 0.138 0.250 0.259 x2
H1 0.073 0.750 0.115 x2
Br1 0.323 0.750 0.656 x2

Calculated values
**Total DFT energy (no corrections)**: -3.634 eV/atom
**Volume**: 23.4 Å³/atom



Record 2
DFT (PBE) results for BaNaScO3 after structural relaxation.

Unit cell a=5.924 b=11.212 c=5.797 alpha=90.00 beta=90.00 gamma=90.00
Space group Cmcm (No. 63)
Unique sites:
Ba1 0.000 0.220 0.250 x4
Na1 0.000 0.069 0.750 x4
Sc1 0.000 0.450 0.750 x4
O1 0.000 0.271 0.750 x4
O2 0.232 0.500 0.000 x8

Calculated values
**Total DFT energy (no corrections)**: -6.686 eV/atom
**ΔE_f (raw)**: -15.67 eV/f.u.
**Volume**: 16.0 Å³/atom



Record 3
DFT (PBE) results for Hf2Mn3Ni after structural relaxation.

Unit cell a=4.7872 b=4.7872 c=12.6320 alpha=90.00 beta=90.00 gamma=120.00
Space group R-3m (No. 166, hexagonal axes)
Unique sites:
Hf1 0.0000 0.0000 0.1202 x6
Mn1 0.0000 0.5000 0.0000 x9
Ni1 0.0000 0.0000 0.5000 x3

Calculated values
**ΔE_f**: -297 meV per atom
**Total DFT energy (no corrections)**: -9.163 eV/atom
**Volume**: 13.9 Å³/atom



Record 4
DFT (PBE) results for SrLiGe2As after structural relaxation.

Unit cell a=5.697 b=5.697 c=5.689 alpha=90.00 beta=90.00 gamma=90.00
Space group P4/mmm (No. 123)
Unique sites:
Sr1 0.000 0.000 0.000 x1
Li1 0.500 0.500 0.500 x1
Ge1 0.000 0.500 0.000 x2
As1 0.000 0.000 0.500 x1

Calculated values
**ΔE_f**: 826 meV per atom
**Total DFT energy (no corrections)**: -2.670 eV/atom
**Volume**: 36.9 Å³/atom



Record 5
DFT (PBE) results for Ce6PtPb3 after structural relaxation.

Unit cell a=5.682 b=9.076 c=11.951 alpha=90.00 beta=110.20 gamma=90.00
Space group P2_1/c (No. 14)
Unique sites:
Ce1 0.014 0.140 0.052 x4
Ce2 0.393 0.543 0.261 x4
Ce3 0.425 0.180 0.415 x4
Pt1 0.500 0.000 0.000 x2
Pb1 0.000 0.000 0.500 x2
Pb2 0.137 0.637 0.760 x4

Calculated values
**ΔE_f**: -387 meV per atom
**Total DFT energy (no corrections)**: -5.664 eV/atom
**Volume**: 28.9 Å³/atom